A plane-wave DFT calculation with SCAN was carried out for a PBEsol-optimized structure of LiLaTa2.

- calculated formation energy (kJ/mol of formula units) = 264

Cell: 2.7677 5.7142 5.8723 Å, 119.11 90.00 90.00°
Last column: nearest neighbours and their distance in Å.
Positions (direct):
La 0.5000 0.0000 0.0000  2 La 2.77, 2 Li 2.86
Li 0.5000 0.5000 0.0000  2 Li 2.77, 2 La 2.86
Ta 0.0000 0.5000 0.5000  4 Ta 2.77-2.86
Ta 0.0000 0.0000 0.5000  4 Ta 2.77-2.86



A plane-wave DFT calculation with SCAN was carried out for a PBEsol-optimized structure of Mg2ZnOs.

- calculated formation energy (kJ/mol of formula units) = 23

Cell: 3.4856 4.1376 5.0347 Å, 114.26 110.25 90.00°
Last column: nearest neighbours and their distance in Å.
Positions (direct):
Mg 0.7482 0.7482 0.4964  4 Mg 2.71, 4 Zn 2.73-2.98, 4 Os 2.76-2.95
Mg 0.2518 0.2518 0.5036  4 Mg 2.71, 4 Zn 2.73-2.98, 4 Os 2.76-2.95
Os 0.5000 0.0000 0.0000  4 Zn 2.71, 8 Mg 2.76-2.95
Zn 0.0000 0.5000 0.0000  4 Os 2.71, 8 Mg 2.73-2.98



A plane-wave DFT calculation with SCAN was carried out for a PBEsol-optimized structure of Y2CrSe.

- DFT total energy (eV/atom) = -23.78

Cell: 3.2535 3.2535 7.9477 Å, 90.00 90.00 90.00°
Last column: nearest neighbours and their distance in Å.
Positions (direct):
Cr 0.0000 0.0000 0.5591  4 Se 2.52
Se 0.5000 0.5000 0.6890  4 Cr 2.52
Y 0.0000 0.0000 0.9399  1 Cr 3.03, 4 Se 3.04, 4 Y 3.25
Y 0.5000 0.5000 0.3120  1 Se 3.00, 4 Cr 3.02, 4 Y 3.25



A plane-wave DFT calculation with SCAN was carried out for a PBEsol-optimized structure of Cd2Bi2Br.

- DFT total energy (eV/atom) = -47.52

Cell: 4.4750 4.4750 7.9992 Å, 106.24 106.24 90.00°
Last column: nearest neighbours and their distance in Å.
Positions (direct):
Bi 0.2500 0.7500 0.5000  4 Bi 3.16, 4 Cd 3.22
Bi 0.7500 0.2500 0.5000  4 Bi 3.16, 4 Cd 3.22
Br 0.0000 0.0000 0.0000  8 Cd 3.44
Cd 0.4075 0.4075 0.8151  1 Cd 2.72
Cd 0.5925 0.5925 0.1849  1 Cd 2.72



A plane-wave DFT calculation with SCAN was carried out for a PBEsol-optimized structure of Mn2AsIr.

- calculated formation energy (kJ/mol of formula units) = -43

Cell: 3.6545 3.6428 4.5593 Å, 113.55 113.63 90.00°
Last column: nearest neighbours and their distance in Å.
Positions (direct):
As 0.0000 0.5000 0.0000  4 Ir 2.58, 8 Mn 2.62
Ir 0.5000 0.0000 0.0000  4 As 2.58, 8 Mn 2.62
Mn 0.7503 0.7503 0.5007  4 Mn 2.58, 4 As 2.62, 4 Ir 2.62
Mn 0.2497 0.2497 0.4993  4 Mn 2.58, 4 As 2.62, 4 Ir 2.62



A plane-wave DFT calculation with SCAN was carried out for a PBEsol-optimized structure of YHfNbCu2.

- calculated formation energy (kJ/mol of formula units) = 618

Cell: 4.7052 4.7052 4.8988 Å, 90.00 90.00 90.00°
Last column: nearest neighbours and their distance in Å.
Positions (direct):
Y 0.0000 0.0000 0.5000  2 Nb 2.45
Nb 0.0000 0.0000 0.0000  4 Cu 2.35, 2 Y 2.45
Hf 0.5000 0.5000 0.5000  4 Y 3.33, 8 Cu 3.40
Cu 0.0000 0.5000 0.0000  2 Nb 2.35
Cu 0.5000 0.0000 0.0000  2 Nb 2.35



A plane-wave DFT calculation with SCAN was carried out for a PBEsol-optimized structure of TiSnTe2.

- DFT total energy (eV/atom) = -32.04

Cell: 3.5903 3.5903 9.9788 Å, 79.64 79.64 60.00°
Last column: nearest neighbours and their distance in Å.
Positions (direct):
Te 0.8935 0.8935 0.3196  3 Ti 2.72
Te 0.1065 0.1065 0.6804  3 Ti 2.72
Sn 0.0000 0.0000 0.0000  2 Te 3.12
Ti 0.5000 0.5000 0.5000  6 Te 2.72



A plane-wave DFT calculation with SCAN was carried out for a PBEsol-optimized structure of ScNb2W.

- calculated formation energy (kJ/mol of formula units) = 57

Cell: 4.6319 4.6319 4.6319 Å, 60.00 60.00 60.00°
Last column: nearest neighbours and their distance in Å.
Positions (direct):
Sc 0.0000 0.0000 0.0000  8 Nb 2.84
Nb 0.2500 0.2500 0.2500  4 W 2.84, 4 Sc 2.84
Nb 0.7500 0.7500 0.7500  4 W 2.84, 4 Sc 2.84
W 0.5000 0.5000 0.5000  8 Nb 2.84



A plane-wave DFT calculation with SCAN was carried out for a PBEsol-optimized structure of AlNi2BiW.

- calculated formation energy (kJ/mol of formula units) = 872

Cell: 4.5465 4.5465 5.1340 Å, 90.00 90.00 90.00°
Last column: nearest neighbours and their distance in Å.
Positions (direct):
Ni 0.0000 0.5000 0.0000  2 Bi 2.27
Ni 0.5000 0.0000 0.0000  2 Bi 2.27
Bi 0.0000 0.0000 0.0000  4 Ni 2.27
W 0.0000 0.0000 0.5000  2 Bi 2.57
Al 0.5000 0.5000 0.5000  4 W 3.21, 8 Ni 3.43



A plane-wave DFT calculation with SCAN was carried out for a PBEsol-optimized structure of TlAsSe2.

- DFT total energy (eV/atom) = -33.44

Cell: 6.1594 11.6869 12.3511 Å, 90.00 105.29 90.00°
Last column: nearest neighbours and their distance in Å.
Positions (direct):
Tl 0.8946 0.3260 0.0678  6 Se 3.07-3.41, 1 As 3.40
Tl 0.6054 0.8260 0.4322  6 Se 3.07-3.41, 1 As 3.40
Tl 0.1054 0.6740 0.9322  6 Se 3.07-3.41, 1 As 3.40
Tl 0.3946 0.1740 0.5678  6 Se 3.07-3.41, 1 As 3.40
Tl 0.3835 0.0748 0.0933  5 Se 3.03-3.35
Tl 0.1165 0.5748 0.4067  5 Se 3.03-3.35
Tl 0.6165 0.9252 0.9067  5 Se 3.03-3.35
Tl 0.8835 0.4252 0.5933  5 Se 3.03-3.35
As 0.5587 0.3325 0.3208  3 Se 2.36-2.56
As 0.0583 0.9099 0.6401  3 Se 2.40-2.50
As 0.4417 0.4099 0.8599  3 Se 2.40-2.50
As 0.9417 0.0901 0.3599  3 Se 2.40-2.50
As 0.5583 0.5901 0.1401  3 Se 2.40-2.50
As 0.4413 0.6675 0.6792  3 Se 2.36-2.56
As 0.0587 0.1675 0.8208  3 Se 2.36-2.56
As 0.9413 0.8325 0.1792  3 Se 2.36-2.56
Se 0.5334 0.8029 0.1573  2 As 2.48-2.50
Se 0.4188 0.4494 0.6626  2 As 2.45-2.56
Se 0.0812 0.9494 0.8374  2 As 2.45-2.56
Se 0.5812 0.5506 0.3374  2 As 2.45-2.56
Se 0.9188 0.0506 0.1626  2 As 2.45-2.56
Se 0.0334 0.6971 0.6573  2 As 2.48-2.50
Se 0.4666 0.1971 0.8427  2 As 2.48-2.50
Se 0.9666 0.3029 0.3427  2 As 2.48-2.50
Se 0.4111 0.3321 0.1237  1 As 2.36
Se 0.0889 0.8321 0.3763  1 As 2.36
Se 0.5889 0.6679 0.8763  1 As 2.36
Se 0.4508 0.9236 0.6492  1 As 2.40
Se 0.9508 0.5764 0.1492  1 As 2.40
Se 0.5492 0.0764 0.3508  1 As 2.40
Se 0.0492 0.4236 0.8508  1 As 2.40
Se 0.9111 0.1679 0.6237  1 As 2.36



A plane-wave DFT calculation with SCAN was carried out for a PBEsol-optimized structure of Ca6ScCo3O12.

- DFT total energy (eV/atom) = -11.76

Cell: 6.2656 6.2656 6.2656 Å, 92.33 92.33 92.33°
Last column: nearest neighbours and their distance in Å.
Positions (direct):
Ca 0.8656 0.5000 0.1344  8 O 2.33-2.56
Ca 0.1344 0.8656 0.5000  8 O 2.33-2.56
Ca 0.5000 0.1344 0.8656  8 O 2.33-2.56
Ca 0.3710 0.6290 0.0000  8 O 2.35-2.53
Ca 0.0000 0.3710 0.6290  8 O 2.35-2.53
Ca 0.6290 0.0000 0.3710  8 O 2.35-2.53
Sc 0.0000 0.0000 0.0000  6 O 2.10
Co 0.7482 0.7482 0.7482  6 O 1.89-1.92
Co 0.2518 0.2518 0.2518  6 O 1.89-1.92
Co 0.5000 0.5000 0.5000  6 O 2.08
O 0.7906 0.6619 0.4618  2 Co 1.89-2.08
O 0.4618 0.7906 0.6619  2 Co 1.89-2.08
O 0.6619 0.4618 0.7906  2 Co 1.89-2.08
O 0.2941 0.9602 0.1626  1 Co 1.92, 1 Sc 2.10
O 0.1626 0.2941 0.9602  1 Co 1.92, 1 Sc 2.10
O 0.9602 0.1626 0.2941  1 Co 1.92, 1 Sc 2.10
O 0.7059 0.8374 0.0398  1 Co 1.92, 1 Sc 2.10
O 0.0398 0.7059 0.8374  1 Co 1.92, 1 Sc 2.10
O 0.8374 0.0398 0.7059  1 Co 1.92, 1 Sc 2.10
O 0.2094 0.5382 0.3381  2 Co 1.89-2.08
O 0.3381 0.2094 0.5382  2 Co 1.89-2.08
O 0.5382 0.3381 0.2094  2 Co 1.89-2.08



A plane-wave DFT calculation with SCAN was carried out for a PBEsol-optimized structure of ZnFeMo2.

- calculated formation energy (kJ/mol of formula units) = 65

Cell: 3.1700 4.2506 4.8690 Å, 115.88 109.00 90.00°
Last column: nearest neighbours and their distance in Å.
Positions (direct):
Fe 0.2573 0.7573 0.5145  6 Mo 2.49-2.66, 2 Zn 2.56
Mo 0.9926 0.9926 0.9852  2 Fe 2.49, 2 Mo 2.56, 4 Zn 2.66
Mo 0.7389 0.2389 0.4779  2 Mo 2.56, 4 Fe 2.66, 4 Zn 2.73-2.82
Zn 0.5112 0.5112 0.0224  2 Fe 2.56, 8 Mo 2.66-2.82